[1]
This record from Alexandria describes crystalline TlSn2RuSe at its relaxed geometry. The functional is PBE.

Cell lengths 5.6616, 5.1391, 5.6616 Å; angles 90.00, 90.00, 90.00 degrees
Closest atoms and distances in Å follow each position.
Element x y z (fractional)
Ru: 0.0000 0.5000 0.0000  2 Tl 2.57
Tl: 0.0000 0.0000 0.0000  2 Ru 2.57, 4 Sn 2.83
Sn: 0.0000 0.0000 0.5000  2 Tl 2.83
Sn: 0.5000 0.0000 0.0000  2 Tl 2.83
Se: 0.5000 0.5000 0.5000  8 Sn 3.82, 4 Ru 4.00

Results
total energy	-0.1239	Ha/atom
ρ	6.3	g/cm³
formation energy from raw total energies	1.256	eV per atom
symmetry	P4/mmm, No. 123


[2]
This record from Alexandria describes crystalline CoCuHgOsRu at its relaxed geometry. The functional is PBE.

Cell lengths 6.7480, 2.7721, 8.9098 Å; angles 90.00, 118.98, 90.00 degrees
Closest atoms and distances in Å follow each position.
Element x y z (fractional)
Ru: 0.8756 0.0000 0.8127  2 Co 2.51, 3 Os 2.56-2.61, 2 Ru 2.77, 3 Cu 2.78-2.79
Ru: 0.8756 0.5000 0.3127  2 Co 2.51, 3 Os 2.56-2.61, 2 Ru 2.77, 3 Cu 2.78-2.79
Os: 0.0215 0.0000 0.5951  3 Ru 2.56-2.61, 3 Co 2.62-2.82, 2 Cu 2.63, 2 Os 2.77
Os: 0.0215 0.5000 0.0951  3 Ru 2.56-2.61, 3 Co 2.62-2.82, 2 Cu 2.63, 2 Os 2.77
Hg: 0.4449 0.0000 0.1940  3 Cu 2.65-2.79, 3 Co 2.74-2.82, 2 Hg 2.77, 2 Os 2.90, 2 Ru 2.92
Hg: 0.4449 0.5000 0.6940  3 Cu 2.65-2.79, 3 Co 2.74-2.82, 2 Hg 2.77, 2 Os 2.90, 2 Ru 2.92
Cu: 0.6494 0.0000 0.0043  2 Os 2.63, 3 Hg 2.65-2.79, 2 Cu 2.77, 3 Ru 2.78-2.79, 2 Co 2.91
Cu: 0.6494 0.5000 0.5043  2 Os 2.63, 3 Hg 2.65-2.79, 2 Cu 2.77, 3 Ru 2.78-2.79, 2 Co 2.91
Co: 0.2184 0.0000 0.3796  2 Ru 2.51, 2 Os 2.62, 1 Hg 2.74, 2 Co 2.77
Co: 0.2184 0.5000 0.8796  2 Ru 2.51, 2 Os 2.62, 1 Hg 2.74, 2 Co 2.77

Results
total energy	-0.2210	Ha/atom
calculated formation energy	1.9	eV/f.u.
ρ	14.0	g/cm³
symmetry	Cm, No. 8


[3]
This record from Alexandria describes crystalline BaThHg4 at its relaxed geometry. The functional is PBE.

Cell lengths 3.5221, 5.2136, 9.0570 Å; angles 90.00, 90.00, 90.00 degrees
Closest atoms and distances in Å follow each position.
Element x y z (fractional)
Ba: 0.5000 0.0000 0.5000  2 Ba 3.52, 12 Hg 3.52-3.55
Th: 0.5000 0.5000 0.0000  12 Hg 3.43-3.46, 2 Th 3.52
Hg: 0.0000 0.5000 0.6749  3 Hg 3.00-3.17
Hg: 0.0000 0.5000 0.3251  3 Hg 3.00-3.17
Hg: 0.0000 0.0000 0.1600  3 Hg 2.90-3.00
Hg: 0.0000 0.0000 0.8400  3 Hg 2.90-3.00

Results
total energy	-0.0768	Ha/atom
calculated formation energy	-2.0	eV/f.u.
ρ	11.7	g/cm³
symmetry	Pmmm, No. 47


[4]
This record from Alexandria describes crystalline ZnNiCl at its relaxed geometry. The functional is PBE.

Cell lengths 3.1697, 3.1697, 5.3819 Å; angles 90.00, 90.00, 120.00 degrees
Closest atoms and distances in Å follow each position.
Element x y z (fractional)
Cl: 0.0000 0.0000 0.0231  3 Ni 2.48, 3 Zn 2.75
Ni: 0.6667 0.3333 0.3354  3 Zn 2.46, 3 Cl 2.48
Zn: 0.3333 0.6667 0.6415  3 Ni 2.46, 3 Cl 2.75

Results
total energy	-0.1113	Ha/atom
ρ	5.7	g/cm³
formation energy from raw total energies	-0.061	eV per atom
symmetry	P3m1, No. 156


[5]
This record from Alexandria describes crystalline KInPd3 at its relaxed geometry. The functional is PBE.

Cell lengths 5.0993, 5.0993, 5.0993 Å; angles 90.00, 90.00, 90.00 degrees
Closest atoms and distances in Å follow each position.
Element x y z (fractional)
K: 0.5000 0.5000 0.5000  12 Pd 3.61
Pd: 0.0000 0.5000 0.0000  2 In 2.55
Pd: 0.0000 0.0000 0.5000  2 In 2.55
Pd: 0.5000 0.0000 0.0000  2 In 2.55
In: 0.0000 0.0000 0.0000  6 Pd 2.55

Results
total energy	-0.1343	Ha/atom
calculated formation energy	1.1	eV/f.u.
ρ	5.9	g/cm³
symmetry	Pm-3m, No. 221


[6]
This record from Alexandria describes crystalline Cs2InPd2 at its relaxed geometry. The functional is PBE.

Cell lengths 7.0317, 7.0317, 6.3426 Å; angles 56.34, 56.34, 90.00 degrees
Closest atoms and distances in Å follow each position.
Element x y z (fractional)
Cs: 0.7500 0.2500 0.5000  4 Pd 3.57, 2 Cs 3.94
Cs: 0.2500 0.7500 0.5000  4 Pd 3.57, 2 Cs 3.94
Pd: 0.3282 0.3282 0.3436  1 In 2.58, 1 Pd 2.71
Pd: 0.6718 0.6718 0.6564  1 In 2.58, 1 Pd 2.71
In: 0.0000 0.0000 0.0000  2 Pd 2.58

Results
total energy	-0.1054	Ha/atom
calculated formation energy	0.5	eV/f.u.
ρ	5.1	g/cm³
symmetry	I4/mmm, No. 139


[7]
This record from Alexandria describes crystalline Cu2Hg2S at its relaxed geometry. The functional is PBE.

Cell lengths 3.9355, 3.9355, 6.8708 Å; angles 73.36, 73.36, 90.00 degrees
Closest atoms and distances in Å follow each position.
Element x y z (fractional)
S: 0.0000 0.0000 0.0000  8 Cu 3.02
Hg: 0.7500 0.2500 0.5000  4 Hg 2.78, 4 Cu 2.79
Hg: 0.2500 0.7500 0.5000  4 Hg 2.78, 4 Cu 2.79
Cu: 0.4069 0.4069 0.1862  1 Cu 2.34
Cu: 0.5931 0.5931 0.8138  1 Cu 2.34

Results
total energy	-0.0787	Ha/atom
ρ	9.6	g/cm³
formation energy from raw total energies	0.444	eV per atom
symmetry	I4/mmm, No. 139


[8]
This record from Alexandria describes crystalline Cu2GeAuS4 at its relaxed geometry. The functional is PBE.

Cell lengths 5.4851, 5.4851, 6.5251 Å; angles 114.85, 114.85, 90.01 degrees
Closest atoms and distances in Å follow each position.
Element x y z (fractional)
Cu: 0.7500 0.2500 0.5000  4 S 2.30
Cu: 0.2500 0.7500 0.5000  4 S 2.30
Ge: 0.4999 0.4999 0.9999  4 S 2.28
Au: 0.0003 0.0003 0.0006  4 S 2.49
S: 0.6015 0.6015 0.7358  1 Ge 2.28, 2 Cu 2.30, 1 Au 2.49
S: 0.3986 0.8656 0.2643  1 Ge 2.28, 2 Cu 2.30, 1 Au 2.49
S: 0.8656 0.3986 0.2643  1 Ge 2.28, 2 Cu 2.30, 1 Au 2.49
S: 0.1342 0.1342 0.7358  1 Ge 2.28, 2 Cu 2.30, 1 Au 2.49

Results
total energy	-0.1579	Ha/atom
ρ	5.5	g/cm³
formation energy from raw total energies	-0.223	eV per atom
symmetry	I-42m, No. 121